The following is a DFT calculation (PBE-GGA) of a geometry-optimized KC structure.

Cell: 2.7247 4.0788 8.1253 Å, 90.00 90.00 90.00°
With the nearest neighbours (Å) after each atom.
Positions (direct):
1 K 0.2500 0.0000 0.2367  2 K 2.72, 6 C 2.90-3.03
2 K 0.7500 0.0000 0.7633  2 K 2.72, 6 C 2.90-3.03
3 C 0.2500 0.5000 0.9824  2 C 1.39
4 C 0.7500 0.5000 0.0176  2 C 1.39

Summary:
- E: -9.15 eV per formula unit
- Relative energy among the computed polymorphs: 0.341 eV per atom
- ΔH_f (0 K): 0.585 eV/atom
- Mass density: 1880 kg/m3
- Size of the total moment: 0.000 μB per formula unit
- Space group: Pmma